Density functional theory data (GGA-PBE) for crystalline PaVGa2 at its relaxed geometry.

a = 4.5584 Å, b = 6.5352 Å, c = 5.0225 Å
α = 90.00°, β = 105.64°, γ = 90.00°
Fractional coordinates of all 8 atoms:
Pa1 0.0318 0.2500 0.1430
Pa2 0.9682 0.7500 0.8570
V1 0.1014 0.7500 0.4154
V2 0.8986 0.2500 0.5846
Ga1 0.4229 0.0539 0.7308
Ga2 0.4229 0.4461 0.7308
Ga3 0.5771 0.5539 0.2692
Ga4 0.5771 0.9461 0.2692

Summary:
As for the raw total energy: -6.455 eV/atom. As for the relative energy among the computed polymorphs: 0.0000 eV/atom.

---

Density functional theory data (GGA-PBE) for crystalline PaV2Ga at its relaxed geometry.

a = 4.5035 Å, b = 4.5035 Å, c = 4.5035 Å
α = 60.00°, β = 60.00°, γ = 60.00°
Fractional coordinates of all 4 atoms:
Pa1 0.0000 0.0000 0.0000
V1 0.2500 0.2500 0.2500
V2 0.7500 0.7500 0.7500
Ga1 0.5000 0.5000 0.5000

Summary:
As for the raw total energy: -7.764 eV/atom. As for the relative energy among the computed polymorphs: 0.0000 eV/atom.

---

Density functional theory data (GGA-PBE) for crystalline PaVGa2 at its relaxed geometry.

a = 3.1790 Å, b = 3.1790 Å, c = 7.1127 Å
α = 90.00°, β = 90.00°, γ = 90.00°
Fractional coordinates of all 4 atoms:
Pa1 0.0000 0.0000 0.0000
V1 0.0000 0.0000 0.5000
Ga1 0.5000 0.5000 0.2964
Ga2 0.5000 0.5000 0.7036

Summary:
As for the raw total energy: -6.290 eV/atom. As for the relative energy among the computed polymorphs: 0.1646 eV/atom.

---

Density functional theory data (GGA-PBE) for crystalline PaVGa at its relaxed geometry.

a = 5.7763 Å, b = 5.7763 Å, c = 4.8766 Å
α = 99.78°, β = 99.78°, γ = 46.48°
Fractional coordinates of all 6 atoms:
Pa1 0.1222 0.1222 0.3037
Pa2 0.8778 0.8778 0.6963
V1 0.1971 0.1971 0.8682
V2 0.8029 0.8029 0.1318
Ga1 0.4177 0.4177 0.2335
Ga2 0.5823 0.5823 0.7665

Summary:
As for the raw total energy: -7.313 eV/atom. As for the relative energy among the computed polymorphs: 0.0878 eV/atom.

---

Density functional theory data (GGA-PBE) for crystalline PaVGa at its relaxed geometry.

a = 4.5556 Å, b = 4.5556 Å, c = 3.3235 Å
α = 90.00°, β = 90.00°, γ = 120.00°
Fractional coordinates of all 3 atoms:
Pa1 0.0000 0.0000 0.0000
V1 0.6667 0.3333 0.5000
Ga1 0.3333 0.6667 0.5000

Summary:
As for the raw total energy: -7.186 eV/atom. As for the relative energy among the computed polymorphs: 0.2144 eV/atom.

---

Density functional theory data (GGA-PBE) for crystalline PaV2Ga at its relaxed geometry.

a = 3.3219 Å, b = 3.3219 Å, c = 6.0563 Å
α = 90.00°, β = 90.00°, γ = 90.00°
Fractional coordinates of all 4 atoms:
Pa1 0.0000 0.0000 0.0000
V1 0.5000 0.5000 0.2562
V2 0.5000 0.5000 0.7438
Ga1 0.0000 0.0000 0.5000

Summary:
As for the raw total energy: -7.572 eV/atom. As for the relative energy among the computed polymorphs: 0.1917 eV/atom.

---

Density functional theory data (GGA-PBE) for crystalline PaVGa4 at its relaxed geometry.

a = 5.3523 Å, b = 5.3523 Å, c = 5.3523 Å
α = 60.00°, β = 60.00°, γ = 60.00°
Fractional coordinates of all 6 atoms:
Pa1 0.0000 0.0000 0.0000
V1 0.2500 0.2500 0.2500
Ga1 0.1258 0.6247 0.6247
Ga2 0.6247 0.1258 0.6247
Ga3 0.6247 0.6247 0.1258
Ga4 0.6247 0.6247 0.6247

Summary:
As for the raw total energy: -5.114 eV/atom.

---

Density functional theory data (GGA-PBE) for crystalline PaVGa at its relaxed geometry.

a = 8.2250 Å, b = 8.2250 Å, c = 8.2250 Å
α = 160.54°, β = 160.54°, γ = 27.65°
Fractional coordinates of all 3 atoms:
Pa1 0.0000 0.0000 0.0000
V1 0.6456 0.6456 0.0000
Ga1 0.8104 0.8104 0.0000

Summary:
As for the raw total energy: -6.679 eV/atom. As for the relative energy among the computed polymorphs: 0.7216 eV/atom.

---

Density functional theory data (GGA-PBE) for crystalline PaGaW at its relaxed geometry.

a = 4.4748 Å, b = 4.4748 Å, c = 3.5321 Å
α = 90.00°, β = 90.00°, γ = 120.00°
Fractional coordinates of all 3 atoms:
Pa1 0.0000 0.0000 0.0000
Ga1 0.6667 0.3333 0.5000
W1 0.3333 0.6667 0.5000

Summary:
As for the raw total energy: -8.272 eV/atom. As for the relative energy among the computed polymorphs: 0.0545 eV/atom.

---

Density functional theory data (GGA-PBE) for crystalline Pa2Ga3W at its relaxed geometry.

a = 5.3864 Å, b = 5.3864 Å, c = 5.5611 Å
α = 119.20°, β = 119.20°, γ = 59.51°
Fractional coordinates of all 6 atoms:
Pa1 0.1384 0.1384 0.4107
Pa2 0.8616 0.8616 0.5893
Ga1 0.0000 0.5000 0.0000
Ga2 0.5000 0.0000 0.0000
Ga3 0.5000 0.5000 0.0000
W1 0.5000 0.5000 0.5000

Summary:
As for the raw total energy: -7.048 eV/atom.

---

Density functional theory data (GGA-PBE) for crystalline PaGaW at its relaxed geometry.

a = 5.9397 Å, b = 5.9397 Å, c = 5.9397 Å
α = 147.83°, β = 147.83°, γ = 46.13°
Fractional coordinates of all 3 atoms:
Pa1 0.0000 0.0000 0.0000
Ga1 0.2925 0.2925 0.0000
W1 0.6714 0.6714 0.0000

Summary:
As for the raw total energy: -8.326 eV/atom. As for the relative energy among the computed polymorphs: 0.0000 eV/atom.

---

Density functional theory data (GGA-PBE) for crystalline YPaGa at its relaxed geometry.

a = 5.0871 Å, b = 5.0871 Å, c = 3.2959 Å
α = 90.00°, β = 90.00°, γ = 120.00°
Fractional coordinates of all 3 atoms:
Y1 0.0000 0.0000 0.0000
Pa1 0.3333 0.6667 0.4602
Ga1 0.6667 0.3333 0.7614

Summary:
As for the raw total energy: -6.262 eV/atom. As for the relative energy among the computed polymorphs: 0.1976 eV/atom.

---

Density functional theory data (GGA-PBE) for crystalline YPaGa at its relaxed geometry.

a = 7.7075 Å, b = 7.7075 Å, c = 7.7075 Å
α = 37.33°, β = 37.33°, γ = 37.33°
Fractional coordinates of all 6 atoms:
Y1 0.1181 0.1181 0.1181
Y2 0.8819 0.8819 0.8819
Pa1 0.3080 0.3080 0.3080
Pa2 0.6920 0.6920 0.6920
Ga1 0.4409 0.4409 0.4409
Ga2 0.5591 0.5591 0.5591

Summary:
As for the raw total energy: -6.365 eV/atom. As for the relative energy among the computed polymorphs: 0.0951 eV/atom.

---

Density functional theory data (GGA-PBE) for crystalline Y2PaGa6 at its relaxed geometry.

a = 7.3187 Å, b = 7.3187 Å, c = 4.0441 Å
α = 90.00°, β = 90.00°, γ = 120.00°
Fractional coordinates of all 9 atoms:
Y1 0.3333 0.6667 0.0000
Y2 0.6667 0.3333 0.0000
Pa1 0.0000 0.0000 0.0000
Ga1 0.0000 0.3326 0.5000
Ga2 0.0000 0.6674 0.5000
Ga3 0.3326 0.0000 0.5000
Ga4 0.3326 0.3326 0.5000
Ga5 0.6674 0.0000 0.5000
Ga6 0.6674 0.6674 0.5000

Summary:
As for the raw total energy: -5.058 eV/atom.

---

Density functional theory data (GGA-PBE) for crystalline Y2PaGa at its relaxed geometry.

a = 3.4189 Å, b = 3.4189 Å, c = 8.8063 Å
α = 90.00°, β = 90.00°, γ = 90.00°
Fractional coordinates of all 4 atoms:
Y1 0.0000 0.0000 0.2203
Y2 0.0000 0.0000 0.7797
Pa1 0.5000 0.5000 0.5000
Ga1 0.5000 0.5000 0.0000

Summary:
As for the raw total energy: -6.523 eV/atom. As for the relative energy among the computed polymorphs: 0.0000 eV/atom.

---

Density functional theory data (GGA-PBE) for crystalline Y2PaGa at its relaxed geometry.

a = 11.3621 Å, b = 11.3621 Å, c = 11.3621 Å
α = 16.78°, β = 16.78°, γ = 16.78°
Fractional coordinates of all 4 atoms:
Y1 0.0977 0.0977 0.0977
Y2 0.9023 0.9023 0.9023
Pa1 0.0000 0.0000 0.0000
Ga1 0.5000 0.5000 0.5000

Summary:
As for the raw total energy: -6.256 eV/atom. As for the relative energy among the computed polymorphs: 0.2670 eV/atom.

---

Density functional theory data (GGA-PBE) for crystalline YPa2Ga6 at its relaxed geometry.

a = 7.7853 Å, b = 7.7853 Å, c = 3.4742 Å
α = 90.00°, β = 90.00°, γ = 120.00°
Fractional coordinates of all 9 atoms:
Y1 0.0000 0.0000 0.0000
Pa1 0.3333 0.6667 0.0000
Pa2 0.6667 0.3333 0.0000
Ga1 0.0000 0.3323 0.5000
Ga2 0.0000 0.6677 0.5000
Ga3 0.3323 0.0000 0.5000
Ga4 0.3323 0.3323 0.5000
Ga5 0.6677 0.0000 0.5000
Ga6 0.6677 0.6677 0.5000

Summary:
As for the raw total energy: -5.260 eV/atom.

---

Density functional theory data (GGA-PBE) for crystalline YPaGa at its relaxed geometry.

a = 7.2709 Å, b = 7.2709 Å, c = 7.2709 Å
α = 154.07°, β = 154.07°, γ = 36.99°
Fractional coordinates of all 3 atoms:
Y1 0.0000 0.0000 0.0000
Pa1 0.3012 0.3012 0.0000
Ga1 0.6514 0.6514 0.0000

Summary:
As for the raw total energy: -6.460 eV/atom. As for the relative energy among the computed polymorphs: 0.0000 eV/atom.

---

Density functional theory data (GGA-PBE) for crystalline YPaZnGa at its relaxed geometry.

a = 5.0374 Å, b = 5.0374 Å, c = 5.0374 Å
α = 60.00°, β = 60.00°, γ = 60.00°
Fractional coordinates of all 4 atoms:
Y1 0.0000 0.0000 0.0000
Pa1 0.5000 0.5000 0.5000
Zn1 0.2500 0.2500 0.2500
Ga1 0.7500 0.7500 0.7500

Summary:
As for the raw total energy: -5.256 eV/atom.

---

Density functional theory data (GGA-PBE) for crystalline PaZnGa at its relaxed geometry.

a = 4.6222 Å, b = 4.6222 Å, c = 3.1712 Å
α = 90.00°, β = 90.00°, γ = 120.00°
Fractional coordinates of all 3 atoms:
Pa1 0.0000 0.0000 0.0000
Zn1 0.6667 0.3333 0.5000
Ga1 0.3333 0.6667 0.5000

Summary:
As for the raw total energy: -4.827 eV/atom.

---

Density functional theory data (GGA-PBE) for crystalline PaZnGa at its relaxed geometry.

a = 7.5419 Å, b = 3.8948 Å, c = 7.9353 Å
α = 90.00°, β = 90.00°, γ = 90.00°
Fractional coordinates of all 12 atoms:
Pa1 0.0053 0.2500 0.1311
Pa2 0.4947 0.7500 0.6311
Pa3 0.5053 0.2500 0.3689
Pa4 0.9947 0.7500 0.8689
Zn1 0.1596 0.2500 0.5910
Zn2 0.3404 0.7500 0.0910
Zn3 0.6596 0.2500 0.9090
Zn4 0.8404 0.7500 0.4090
Ga1 0.1827 0.7500 0.3830
Ga2 0.3173 0.2500 0.8830
Ga3 0.6827 0.7500 0.1170
Ga4 0.8173 0.2500 0.6170

Summary:
As for the raw total energy: -4.779 eV/atom.

---

Density functional theory data (GGA-PBE) for crystalline Pa4ZnGa12 at its relaxed geometry.

a = 7.5224 Å, b = 7.5224 Å, c = 7.5224 Å
α = 109.47°, β = 109.47°, γ = 109.47°
Fractional coordinates of all 17 atoms:
Pa1 0.0000 0.0000 0.5000
Pa2 0.0000 0.5000 0.0000
Pa3 0.5000 0.0000 0.0000
Pa4 0.5000 0.5000 0.5000
Zn1 0.0000 0.0000 0.0000
Ga1 0.0000 0.2966 0.2966
Ga2 0.0000 0.7034 0.7034
Ga3 0.2500 0.5000 0.7500
Ga4 0.2500 0.7500 0.5000
Ga5 0.2966 0.0000 0.2966
Ga6 0.2966 0.2966 0.0000
Ga7 0.5000 0.2500 0.7500
Ga8 0.5000 0.7500 0.2500
Ga9 0.7034 0.0000 0.7034
Ga10 0.7034 0.7034 0.0000
Ga11 0.7500 0.2500 0.5000
Ga12 0.7500 0.5000 0.2500

Summary:
As for the raw total energy: -4.780 eV/atom.

---

Density functional theory data (GGA-PBE) for crystalline Pa2ZnGa at its relaxed geometry.

a = 6.1916 Å, b = 6.1916 Å, c = 6.1916 Å
α = 120.01°, β = 90.64°, γ = 119.25°
Fractional coordinates of all 8 atoms:
Pa1 0.2620 0.0000 0.7620
Pa2 0.2620 0.5000 0.2620
Pa3 0.7380 0.0000 0.2380
Pa4 0.7380 0.5000 0.7380
Zn1 0.2250 0.4750 0.7500
Zn2 0.7750 0.5250 0.2500
Ga1 0.2280 0.9780 0.2500
Ga2 0.7720 0.0220 0.7500

Summary:
As for the raw total energy: -5.959 eV/atom. As for the relative energy among the computed polymorphs: 0.0118 eV/atom.

---

Density functional theory data (GGA-PBE) for crystalline Pa3Zn2Ga3 at its relaxed geometry.

a = 5.7160 Å, b = 5.7160 Å, c = 14.4008 Å
α = 90.00°, β = 90.00°, γ = 135.61°
Fractional coordinates of all 16 atoms:
Pa1 0.0780 0.9220 0.6159
Pa2 0.0780 0.9220 0.8841
Pa3 0.3603 0.6397 0.7500
Pa4 0.6397 0.3603 0.2500
Pa5 0.9220 0.0780 0.1159
Pa6 0.9220 0.0780 0.3841
Zn1 0.2147 0.7853 0.0981
Zn2 0.2147 0.7853 0.4019
Zn3 0.7853 0.2147 0.5981
Zn4 0.7853 0.2147 0.9019
Ga1 0.3531 0.6469 0.2500
Ga2 0.3862 0.6138 0.5397
Ga3 0.3862 0.6138 0.9603
Ga4 0.6138 0.3862 0.0397
Ga5 0.6138 0.3862 0.4603
Ga6 0.6469 0.3531 0.7500

Summary:
As for the raw total energy: -5.212 eV/atom.

---

Density functional theory data (GGA-PBE) for crystalline Pa2Zn3Ga4 at its relaxed geometry.

a = 8.0127 Å, b = 8.0127 Å, c = 7.7121 Å
α = 90.00°, β = 90.00°, γ = 137.52°
Fractional coordinates of all 18 atoms:
Pa1 0.1097 0.8903 0.9069
Pa2 0.3903 0.6097 0.4069
Pa3 0.6097 0.3903 0.5931
Pa4 0.8903 0.1097 0.0931
Zn1 0.0000 0.0000 0.5000
Zn2 0.0269 0.4731 0.7500
Zn3 0.4731 0.0269 0.2500
Zn4 0.5000 0.5000 0.0000
Zn5 0.5269 0.9731 0.7500
Zn6 0.9731 0.5269 0.2500
Ga1 0.1790 0.8210 0.5315
Ga2 0.1962 0.3038 0.7500
Ga3 0.3038 0.1962 0.2500
Ga4 0.3210 0.6790 0.0315
Ga5 0.6790 0.3210 0.9685
Ga6 0.6962 0.8038 0.7500
Ga7 0.8038 0.6962 0.2500
Ga8 0.8210 0.1790 0.4685

Summary:
As for the raw total energy: -4.099 eV/atom.

---

Density functional theory data (GGA-PBE) for crystalline PaZn2Ga at its relaxed geometry.

a = 4.2579 Å, b = 4.2579 Å, c = 4.3609 Å
α = 90.00°, β = 90.00°, γ = 90.00°
Fractional coordinates of all 4 atoms:
Pa1 0.0000 0.0000 0.0000
Zn1 0.0000 0.5000 0.5000
Zn2 0.5000 0.0000 0.5000
Ga1 0.5000 0.5000 0.0000

Summary:
As for the raw total energy: -3.841 eV/atom.

---

Density functional theory data (GGA-PBE) for crystalline Pa2ZnGa at its relaxed geometry.

a = 4.9981 Å, b = 4.9981 Å, c = 4.9981 Å
α = 60.00°, β = 60.00°, γ = 60.00°
Fractional coordinates of all 4 atoms:
Pa1 0.2500 0.2500 0.2500
Pa2 0.7500 0.7500 0.7500
Zn1 0.0000 0.0000 0.0000
Ga1 0.5000 0.5000 0.5000

Summary:
As for the raw total energy: -5.801 eV/atom. As for the relative energy among the computed polymorphs: 0.1698 eV/atom.

---

Number 1: formation enthalpy at 0 K -0.2875 eV per atom. Number 2: formation enthalpy at 0 K -0.0741 eV per atom. Number 3: formation enthalpy at 0 K -0.1229 eV per atom. Number 4: formation enthalpy at 0 K -0.0993 eV per atom. Number 5: formation enthalpy at 0 K 0.0273 eV per atom. Number 6: formation enthalpy at 0 K 0.1176 eV per atom. Number 7: formation enthalpy at 0 K 0.0066 eV per atom. Number 8: formation enthalpy at 0 K 0.5345 eV per atom. Number 9: formation enthalpy at 0 K 0.2200 eV per atom. Number 10: formation enthalpy at 0 K -0.2105 eV per atom. Number 11: formation enthalpy at 0 K 0.1655 eV per atom. Number 12: formation enthalpy at 0 K 0.0669 eV per atom. Number 13: formation enthalpy at 0 K -0.0356 eV per atom. Number 14: formation enthalpy at 0 K -0.5489 eV per atom. Number 15: formation enthalpy at 0 K -0.1605 eV per atom. Number 16: formation enthalpy at 0 K 0.1065 eV per atom. Number 17: formation enthalpy at 0 K -0.4132 eV per atom. Number 18: formation enthalpy at 0 K -0.1308 eV per atom. Number 19: formation enthalpy at 0 K -0.1905 eV per atom. Number 20: formation enthalpy at 0 K -0.2284 eV per atom. Number 21: formation enthalpy at 0 K -0.1796 eV per atom. Number 22: formation enthalpy at 0 K -0.3344 eV per atom. Number 23: formation enthalpy at 0 K -0.1353 eV per atom. Number 24: formation enthalpy at 0 K -0.1972 eV per atom. Number 25: formation enthalpy at 0 K -0.2193 eV per atom. Number 26: formation enthalpy at 0 K -0.0733 eV per atom. Number 27: formation enthalpy at 0 K 0.0227 eV per atom.